A relaxed Cu2Re2Mo crystal. Source: Alexandria via LeMat-Bulk, functional PBE.

Properties
Raw total energy ... -81.93 eV per cell
Offset from the most stable computed form ... 0.0000 eV per atom

Lattice parameters (Å, degrees): 7.5075 7.5075 2.5926 90.00 90.00 90.00
Last column: nearest neighbours and their distance in Å.
Space group P4/mbm (No. 127)
One atom of each set of equivalent atoms:
Cu 0.1760 0.3240 0.0000 x4  6 Re 2.52-2.61, 2 Cu 2.59
Re 0.1201 0.6201 0.5000 x4  6 Cu 2.52-2.61, 3 Re 2.55-2.59
Mo 0.0000 0.0000 0.5000 x2  2 Mo 2.59